The following is a DFT calculation (PBE with a Hubbard U) of an optimized crystal structure of Na3VPd3O8.

Lattice parameters (Å, degrees): 11.3652 6.1826 6.8029 90.00 124.79 90.00
With the nearest neighbours (Å) after each atom.
Space group C2/m (No. 12)
Asymmetric unit:
Na: 0.0000 0.0000 0.0000 x2  6 O 2.35-2.56
Na: 0.2500 0.2500 0.0000 x4  2 O 2.18
V: 0.0000 0.0000 0.5000 x2  2 O 1.79
Pd: 0.0000 0.5000 0.5000 x2  4 O 2.11
Pd: 0.2500 0.2500 0.5000 x4  4 O 2.05-2.08
O: 0.0295 0.2391 0.3332 x8  1 V 2.00, 2 Pd 2.08-2.11
O: 0.1879 0.0000 0.7308 x4  1 V 1.79
O: 0.2472 0.0000 0.2985 x4  2 Pd 2.05

---

The following is a DFT calculation (PBE with a Hubbard U) of an optimized crystal structure of Na2VPdO.

Lattice parameters (Å, degrees): 5.8169 5.8169 3.6168 90.00 90.00 90.00
With the nearest neighbours (Å) after each atom.
Space group P4/mmm (No. 123)
Asymmetric unit:
Na: 0.0000 0.5000 0.0000 x2  2 V 2.91
V: 0.0000 0.0000 0.0000 x1  2 O 1.81
Pd: 0.5000 0.5000 0.5000 x1  8 Na 3.42, 2 Pd 3.62
O: 0.0000 0.0000 0.5000 x1  2 V 1.81

---

| no. | total magnetic moment (μB/cell) | final energy (eV for the cell shown) |
| --- | --- | --- |
| 1 | 4.1 | -164.35 |
| 2 | 2.5 | -20.61 |